# 1
Density functional theory data (PBE-GGA) for Pu3MnPb after structural relaxation.

Cell: 5.0082 5.0082 5.0082 Å, 90.00 90.00 90.00°
Fractional positions:
Pu1 0.0000 0.0000 0.5000
Pu2 0.0000 0.5000 0.0000
Pu3 0.5000 0.0000 0.0000
Mn1 0.0000 0.0000 0.0000
Pb1 0.5000 0.5000 0.5000

space group = Pm-3m, No. 221
energy of formation from the pure elements = 36.2 meV per atom
ρ = 13.1 g cm⁻³


# 2
Density functional theory data (PBE-GGA) for La6Ni2SeI3 after structural relaxation.

Cell: 7.4593 7.4593 8.3137 Å, 98.62 98.62 119.90°
Fractional positions:
La1 0.0800 0.4349 0.8078
La2 0.2082 0.2082 0.1904
La3 0.4349 0.0800 0.8078
La4 0.5651 0.9200 0.1922
La5 0.7918 0.7918 0.8096
La6 0.9200 0.5651 0.1922
Ni1 0.1673 0.8327 0.0000
Ni2 0.8327 0.1673 0.0000
Se1 0.5000 0.5000 0.0000
I1 0.0000 0.0000 0.5000
I2 0.3401 0.6599 0.5000
I3 0.6599 0.3401 0.5000

space group = C2/m, No. 12
ρ = 6.1 g cm⁻³
energy relative to the elements, uncorrected = -1.00 eV per atom


# 3
Density functional theory data (PBE-GGA) for V2GeH2 after structural relaxation.

Cell: 6.0814 6.0814 2.6619 Å, 90.00 90.00 90.00°
Fractional positions:
V1 0.1354 0.3646 0.0000
V2 0.3646 0.8646 0.0000
V3 0.6354 0.1354 0.0000
V4 0.8646 0.6354 0.0000
Ge1 0.0000 0.0000 0.5000
Ge2 0.5000 0.5000 0.5000
H1 0.1007 0.6007 0.5000
H2 0.3993 0.1007 0.5000
H3 0.6007 0.8993 0.5000
H4 0.8993 0.3993 0.5000

space group = P4/mbm, No. 127
ρ = 6.0 g cm⁻³
ΔE to the lowest computed polymorph = 1.649 eV per formula unit


# 4
Density functional theory data (PBE-GGA) for Ac2B4Ir3 after structural relaxation.

Cell: 7.6147 6.5890 5.5037 Å, 77.48 57.64 44.88°
Fractional positions:
Ac1 0.1551 0.1551 0.8449
Ac2 0.8449 0.8449 0.1551
B1 0.2077 0.5485 0.4515
B2 0.4515 0.7923 0.2077
B3 0.5485 0.2077 0.7923
B4 0.7923 0.4515 0.5485
Ir1 0.0000 0.0000 0.5000
Ir2 0.5000 0.5000 0.0000
Ir3 0.5000 0.5000 0.5000

space group = Fmmm, No. 69
energy of formation from the pure elements = -69.2 meV per atom
ρ = 11.3 g cm⁻³


# 5
Density functional theory data (PBE-GGA) for Tb2Pr6YHo after structural relaxation.

Cell: 9.0380 9.0380 9.7526 Å, 93.96 93.96 118.08°
Fractional positions:
Tb1 0.1990 0.2986 0.0451
Tb2 0.2986 0.1990 0.5451
Tb3 0.7014 0.8010 0.4549
Tb4 0.8010 0.7014 0.9549
Pr1 0.0098 0.5651 0.1893
Pr2 0.1182 0.7613 0.5530
Pr3 0.2387 0.8818 0.9470
Pr4 0.2921 0.5056 0.3820
Pr5 0.4349 0.9902 0.3107
Pr6 0.4944 0.7079 0.1180
Pr7 0.5056 0.2921 0.8820
Pr8 0.5651 0.0098 0.6893
Pr9 0.7079 0.4944 0.6180
Pr10 0.7613 0.1182 0.0530
Pr11 0.8818 0.2387 0.4470
Pr12 0.9902 0.4349 0.8107
Y1 0.0258 0.9742 0.2500
Y2 0.9742 0.0258 0.7500
Ho1 0.4112 0.5888 0.7500
Ho2 0.5888 0.4112 0.2500

space group = C2/c, No. 15
energy of formation from the pure elements = 112.8 meV per atom
ρ = 6.8 g cm⁻³


# 6
Density functional theory data (PBE-GGA) for LiCu2F6 after structural relaxation.

Cell: 5.6189 4.5939 15.5620 Å, 90.00 99.36 90.00°
Fractional positions:
Li1 0.1174 0.0118 0.4234
Li2 0.1174 0.4882 0.9234
Li3 0.8826 0.5118 0.0766
Li4 0.8826 0.9882 0.5766
Cu1 0.2434 0.5391 0.2480
Cu2 0.2434 0.9609 0.7480
Cu3 0.3862 0.0167 0.0824
Cu4 0.3862 0.4833 0.5824
Cu5 0.6138 0.5167 0.4176
Cu6 0.6138 0.9833 0.9176
Cu7 0.7566 0.0391 0.2520
Cu8 0.7566 0.4609 0.7520
F1 0.0441 0.6850 0.8026
F2 0.0441 0.8150 0.3026
F3 0.1333 0.2396 0.5313
F4 0.1333 0.2604 0.0313
F5 0.1794 0.7398 0.6393
F6 0.1794 0.7602 0.1393
F7 0.3299 0.1878 0.8564
F8 0.3299 0.3122 0.3564
F9 0.3846 0.7353 0.4758
F10 0.3846 0.7647 0.9758
F11 0.4544 0.2449 0.6957
F12 0.4544 0.2551 0.1957
F13 0.5456 0.7449 0.8043
F14 0.5456 0.7551 0.3043
F15 0.6154 0.2353 0.0242
F16 0.6154 0.2647 0.5242
F17 0.6701 0.6878 0.6436
F18 0.6701 0.8122 0.1436
F19 0.8206 0.2398 0.8607
F20 0.8206 0.2602 0.3607
F21 0.8667 0.7396 0.9687
F22 0.8667 0.7604 0.4687
F23 0.9559 0.1850 0.6974
F24 0.9559 0.3150 0.1974

space group = P2_1/c, No. 14
ρ = 4.2 g cm⁻³
energy relative to the elements, uncorrected = -1.79 eV per atom
ΔE to the lowest computed polymorph = 0.172 eV per formula unit


Q: The lowest ρ belongs to which entry?
A: LiCu2F6